Material: LiMnSiO4
Method: DFT, GGA+U
State: optimized geometry

POSCAR file:
```
LiMnSiO4
1.0
9.041 0.000 0.000
0.000 6.397 0.000
0.000 0.000 4.919
Li Mn Si O
4 4 4 16
Cartesian
1.495 1.599 0.173
3.025 4.797 2.633
6.016 1.599 2.286
7.546 4.797 4.746
0.000 0.000 2.460
0.000 3.198 2.460
4.521 0.000 0.000
4.521 3.198 0.000
1.621 4.797 0.173
2.900 1.599 2.632
6.142 4.797 2.287
7.421 1.599 4.746
1.079 3.439 0.913
1.079 6.156 0.913
1.187 4.797 3.512
1.232 1.599 2.949
3.288 4.797 0.490
3.334 1.599 1.052
3.441 0.241 3.373
3.441 2.957 3.373
5.600 3.439 1.546
5.600 6.156 1.546
5.708 4.797 3.867
5.753 1.599 4.430
7.809 4.797 1.970
7.854 1.599 1.408
7.962 0.241 4.006
7.962 2.957 4.006
```

## Properties
volume: 10.16 Å³ per atom
relative energy among the computed polymorphs: 20 meV/atom
space group: Pnma
magnetic moment: 16.0 μB/cell